A plane-wave DFT calculation with GGA-PBEsol was carried out for a relaxed structure of BeTcP.

Lattice parameters (Å, degrees): 2.9812 2.9812 7.4217 90.00 90.00 90.00
Space group I4mm (No. 107)
Unique sites:
Be 0.0000 0.0000 0.0000 [2 per cell]
Tc 0.0000 0.0000 0.3266 [2 per cell]
P 0.0000 0.0000 0.6651 [2 per cell]

Results
Calculated volume   66 Å³ per cell
Energy of formation from the pure elements   -0.607 eV per atom

=====

A plane-wave DFT calculation with GGA-PBEsol was carried out for a relaxed structure of BeTeP2.

Lattice parameters (Å, degrees): 5.3097 7.1606 3.5630 90.00 90.00 90.00
Space group Cmmm (No. 65)
Unique sites:
Be 0.0000 0.0000 0.0000 [2 per cell]
Te 0.0000 0.5000 0.0000 [2 per cell]
P 0.2500 0.2500 0.5000 [4 per cell]

Results
Uncorrected formation energy   0.768 eV per atom
Distance to the lowest polymorph of the same formula   2.45 eV per formula unit
Calculated volume   135 Å³ per cell

=====

A plane-wave DFT calculation with GGA-PBEsol was carried out for a relaxed structure of BeTeP2.

Lattice parameters (Å, degrees): 3.3658 3.3658 23.1316 90.00 90.00 120.00
Space group R3m (No. 160, hexagonal axes)
Unique sites:
Be 0.0000 0.0000 0.0000 [3 per cell]
Te 0.0000 0.0000 0.2704 [3 per cell]
P 0.0000 0.0000 0.4596 [3 per cell]
P 0.0000 0.0000 0.7386 [3 per cell]

Results
Uncorrected formation energy   0.180 eV per atom
Distance to the lowest polymorph of the same formula   0.10 eV per formula unit
Calculated volume   227 Å³ per cell

=====

A plane-wave DFT calculation with GGA-PBEsol was carried out for a relaxed structure of BeTeP2.

Lattice parameters (Å, degrees): 6.3755 6.3755 6.3755 90.00 90.00 90.00
Space group F-43m (No. 216)
Unique sites:
Be 0.0000 0.0000 0.0000 [4 per cell]
Te 0.2500 0.2500 0.2500 [4 per cell]
P 0.0000 0.0000 0.5000 [4 per cell]
P 0.2500 0.2500 0.7500 [4 per cell]

Results
Uncorrected formation energy   0.719 eV per atom
Distance to the lowest polymorph of the same formula   2.26 eV per formula unit
Calculated volume   259 Å³ per cell